{"formula": "TaReSe2", "functional": "meta-GGA SCAN", "state": "single point on PBEsol structure", "magmom_total_mub_per_cell": 0.001, "mass_density_g_cm3": 14.15, "formation_energy_uncorrected_ev_per_fu": 1.6, "total_energy_ev_per_fu": -176.27, "cell": [[3.137, 0.000, 0.000], [0.000, 3.137, 0.000], [0.000, 0.000, 6.259]], "species": ["Ta", "Re", "Se", "Se"], "frac_coords": [[0.000, 0.000, 0.000], [0.000, 0.000, 0.500], [0.500, 0.500, 0.249], [0.500, 0.500, 0.751]]}